Entry 1:
# CrTcH2 PBE relaxed
data_CrTcH2
_cell_length_a 2.8815
_cell_length_b 2.8815
_cell_length_c 14.2809
_cell_angle_alpha 90.00
_cell_angle_beta 90.00
_cell_angle_gamma 120.00
_symmetry_space_group_name_H-M 'P 1'
_symmetry_Int_Tables_number 1
_symmetry_space_group_name_Hall 'P 1'
loop_
_atom_site_label
_atom_site_fract_x
_atom_site_fract_y
_atom_site_fract_z
Cr1 0.0000 0.0000 0.0000
Cr2 0.3333 0.6667 0.6667
Cr3 0.6667 0.3333 0.3333
Tc1 0.0000 0.0000 0.5000
Tc2 0.3333 0.6667 0.1667
Tc3 0.6667 0.3333 0.8333
H1 0.0000 0.0000 0.1174
H2 0.0000 0.0000 0.8826
H3 0.3333 0.6667 0.5493
H4 0.3333 0.6667 0.7841
H5 0.6667 0.3333 0.2159
H6 0.6667 0.3333 0.4507
# VASP energy = -76.481 eV/cell
# Offset from the most stable computed form = 1.510 eV/f.u.
# N(E_F) = 2.9 states/eV/f.u.
# Size of the total moment = 3.77 μB per cell

***

Entry 2:
# BaCaSb4O8 PBE relaxed
data_BaCaSb4O8
_cell_length_a 6.2539
_cell_length_b 6.2539
_cell_length_c 7.3653
_cell_angle_alpha 90.00
_cell_angle_beta 90.00
_cell_angle_gamma 120.00
_symmetry_space_group_name_H-M 'P 1'
_symmetry_Int_Tables_number 1
_symmetry_space_group_name_Hall 'P 1'
loop_
_atom_site_label
_atom_site_fract_x
_atom_site_fract_y
_atom_site_fract_z
Ba1 0.0000 0.0000 0.0000
Ca1 0.0000 0.0000 0.5000
Sb1 0.3333 0.6667 0.2725
Sb2 0.3333 0.6667 0.7275
Sb3 0.6667 0.3333 0.2725
Sb4 0.6667 0.3333 0.7275
O1 0.0000 0.2997 0.2802
O2 0.0000 0.7003 0.7198
O3 0.2997 0.0000 0.2802
O4 0.2997 0.2997 0.7198
O5 0.3333 0.6667 0.0000
O6 0.6667 0.3333 0.0000
O7 0.7003 0.0000 0.7198
O8 0.7003 0.7003 0.2802
# VASP energy = -82.685 eV/cell
# N(E_F) = 0.2 states/eV/f.u.
# Size of the total moment = 0.00 μB per cell
# Uncorrected formation energy = -22.61 eV per formula unit

***

Entry 3:
# Hf3Fe8Ge PBE relaxed
data_Hf3Fe8Ge
_cell_length_a 8.4441
_cell_length_b 8.4441
_cell_length_c 8.4441
_cell_angle_alpha 33.72
_cell_angle_beta 33.72
_cell_angle_gamma 33.72
_symmetry_space_group_name_H-M 'P 1'
_symmetry_Int_Tables_number 1
_symmetry_space_group_name_Hall 'P 1'
loop_
_atom_site_label
_atom_site_fract_x
_atom_site_fract_y
_atom_site_fract_z
Hf1 0.0000 0.0000 0.0000
Hf2 0.1272 0.1272 0.1272
Hf3 0.6202 0.6202 0.6202
Fe1 0.0615 0.0615 0.5623
Fe2 0.0615 0.5623 0.0615
Fe3 0.0619 0.5625 0.5625
Fe4 0.3121 0.3121 0.3121
Fe5 0.5623 0.0615 0.0615
Fe6 0.5625 0.0619 0.5625
Fe7 0.5625 0.5625 0.0619
Fe8 0.8124 0.8124 0.8124
Ge1 0.4953 0.4953 0.4953
# VASP energy = -105.497 eV/cell
# N(E_F) = 6.5 states/eV/f.u.
# Formation energy = -0.2765 eV per atom
# Size of the total moment = 13.57 μB per cell

***

Entry 4:
# Ti2Al5FePt2 PBE relaxed
data_Ti2Al5FePt2
_cell_length_a 8.9930
_cell_length_b 8.9930
_cell_length_c 3.9286
_cell_angle_alpha 90.00
_cell_angle_beta 90.00
_cell_angle_gamma 90.00
_symmetry_space_group_name_H-M 'P 1'
_symmetry_Int_Tables_number 1
_symmetry_space_group_name_Hall 'P 1'
loop_
_atom_site_label
_atom_site_fract_x
_atom_site_fract_y
_atom_site_fract_z
Ti1 0.1771 0.3229 0.0000
Ti2 0.3229 0.8229 0.0000
Ti3 0.6771 0.1771 0.0000
Ti4 0.8229 0.6771 0.0000
Al1 0.0000 0.5000 0.5000
Al2 0.0601 0.8014 0.5000
Al3 0.1986 0.0601 0.5000
Al4 0.3014 0.5601 0.5000
Al5 0.4399 0.3014 0.5000
Al6 0.5000 0.0000 0.5000
Al7 0.5601 0.6986 0.5000
Al8 0.6986 0.4399 0.5000
Al9 0.8014 0.9399 0.5000
Al10 0.9399 0.1986 0.5000
Fe1 0.0000 0.0000 0.0000
Fe2 0.5000 0.5000 0.0000
Pt1 0.1230 0.6230 0.0000
Pt2 0.3770 0.1230 0.0000
Pt3 0.6230 0.8770 0.0000
Pt4 0.8770 0.3770 0.0000
# VASP energy = -121.184 eV/cell
# N(E_F) = 6.9 states/eV/f.u.
# Formation energy = -0.5545 eV per atom
# Size of the total moment = 4.99 μB per cell

***

Entry 5:
# Ti9Cd4In11 PBE relaxed
data_Ti9Cd4In11
_cell_length_a 13.1647
_cell_length_b 13.1647
_cell_length_c 3.1558
_cell_angle_alpha 90.00
_cell_angle_beta 90.00
_cell_angle_gamma 115.60
_symmetry_space_group_name_H-M 'P 1'
_symmetry_Int_Tables_number 1
_symmetry_space_group_name_Hall 'P 1'
loop_
_atom_site_label
_atom_site_fract_x
_atom_site_fract_y
_atom_site_fract_z
Ti1 0.0000 0.0000 0.0000
Ti2 0.1161 0.6829 0.0000
Ti3 0.3000 0.4928 0.0000
Ti4 0.3171 0.8839 0.0000
Ti5 0.4928 0.3000 0.0000
Ti6 0.5072 0.7000 0.0000
Ti7 0.6829 0.1161 0.0000
Ti8 0.7000 0.5072 0.0000
Ti9 0.8839 0.3171 0.0000
Cd1 0.0904 0.2600 0.0000
Cd2 0.2600 0.0904 0.0000
Cd3 0.7400 0.9096 0.0000
Cd4 0.9096 0.7400 0.0000
In1 0.0927 0.4655 0.5000
In2 0.1185 0.8815 0.5000
In3 0.2949 0.2949 0.5000
In4 0.3106 0.6894 0.5000
In5 0.4655 0.0927 0.5000
In6 0.5000 0.5000 0.5000
In7 0.5345 0.9073 0.5000
In8 0.6894 0.3106 0.5000
In9 0.7051 0.7051 0.5000
In10 0.8815 0.1185 0.5000
In11 0.9073 0.5345 0.5000
# VASP energy = -104.203 eV/cell
# N(E_F) = 20.9 states/eV/f.u.
# Formation energy = 0.0264 eV per atom
# Size of the total moment = 3.19 μB per cell

***

Entry 6:
# Fe2AuCl PBE relaxed
data_Fe2AuCl
_cell_length_a 3.1228
_cell_length_b 3.6775
_cell_length_c 6.3060
_cell_angle_alpha 90.00
_cell_angle_beta 90.00
_cell_angle_gamma 90.00
_symmetry_space_group_name_H-M 'P 1'
_symmetry_Int_Tables_number 1
_symmetry_space_group_name_Hall 'P 1'
loop_
_atom_site_label
_atom_site_fract_x
_atom_site_fract_y
_atom_site_fract_z
Fe1 0.0000 0.0000 0.1883
Fe2 0.0000 0.0000 0.8117
Au1 0.5000 0.5000 0.0000
Cl1 0.5000 0.0000 0.5000
# VASP energy = -21.632 eV/cell
# Offset from the most stable computed form = 0.034 eV/f.u.
# N(E_F) = 2.8 states/eV/f.u.
# Size of the total moment = 6.26 μB per cell
# Uncorrected formation energy = 0.42 eV per formula unit

***

Entry 7:
# VHIr PBE relaxed
data_VHIr
_cell_length_a 8.7749
_cell_length_b 2.8012
_cell_length_c 4.8652
_cell_angle_alpha 90.00
_cell_angle_beta 90.00
_cell_angle_gamma 90.00
_symmetry_space_group_name_H-M 'P 1'
_symmetry_Int_Tables_number 1
_symmetry_space_group_name_Hall 'P 1'
loop_
_atom_site_label
_atom_site_fract_x
_atom_site_fract_y
_atom_site_fract_z
V1 0.2458 0.2500 0.0837
V2 0.2542 0.7500 0.5837
V3 0.7458 0.2500 0.4163
V4 0.7542 0.7500 0.9163
H1 0.1756 0.2500 0.4199
H2 0.3244 0.7500 0.9199
H3 0.6756 0.2500 0.0801
H4 0.8244 0.7500 0.5801
Ir1 0.0035 0.2500 0.7548
Ir2 0.4965 0.7500 0.2548
Ir3 0.5035 0.2500 0.7452
Ir4 0.9965 0.7500 0.2452
# VASP energy = -88.251 eV/cell
# Offset from the most stable computed form = 0.000 eV/f.u.
# N(E_F) = 1.4 states/eV/f.u.
# Size of the total moment = 0.00 μB per cell

***

Entry 8:
# TlAgSnBr6 PBE relaxed
data_TlAgSnBr6
_cell_length_a 7.2846
_cell_length_b 7.2846
_cell_length_c 14.1034
_cell_angle_alpha 90.00
_cell_angle_beta 90.00
_cell_angle_gamma 120.00
_symmetry_space_group_name_H-M 'P 1'
_symmetry_Int_Tables_number 1
_symmetry_space_group_name_Hall 'P 1'
loop_
_atom_site_label
_atom_site_fract_x
_atom_site_fract_y
_atom_site_fract_z
Tl1 0.0000 0.0000 0.0000
Tl2 0.0000 0.0000 0.5000
Ag1 0.3333 0.6667 0.2500
Ag2 0.6667 0.3333 0.7500
Sn1 0.3333 0.6667 0.7500
Sn2 0.6667 0.3333 0.2500
Br1 0.0244 0.3802 0.6403
Br2 0.0244 0.6442 0.8597
Br3 0.3558 0.3802 0.8597
Br4 0.3558 0.9756 0.6403
Br5 0.3802 0.0244 0.1403
Br6 0.3802 0.3558 0.3597
Br7 0.6198 0.6442 0.6403
Br8 0.6198 0.9756 0.8597
Br9 0.6442 0.0244 0.3597
Br10 0.6442 0.6198 0.1403
Br11 0.9756 0.3558 0.1403
Br12 0.9756 0.6198 0.3597
# VASP energy = -49.584 eV/cell
# Size of the total moment = 0.00 μB per cell
# Uncorrected formation energy = -5.53 eV per formula unit